#w
# KTe3Au3 (PBE, relaxed)
data_KTe3Au3
_chemical_formula_sum 'K2 Te6 Au6'
_cell_length_a 7.7724
_cell_length_b 7.7724
_cell_length_c 7.7724
_cell_angle_alpha 90.00
_cell_angle_beta 90.00
_cell_angle_gamma 90.00
_symmetry_space_group_name_H-M 'P m -3 n'
_symmetry_Int_Tables_number 223
_symmetry_space_group_name_Hall '-P 4n 2 3'
loop_
_atom_site_label
_atom_site_type_symbol
_atom_site_fract_x
_atom_site_fract_y
_atom_site_fract_z
_atom_site_occupancy
K1 K 0.0000 0.0000 0.0000 1
Te1 Te 0.0000 0.2500 0.5000 1
Au1 Au 0.0000 0.5000 0.2500 1
# magnetic moment = 0.0 μB/cell

#x
# KTe3Au3 (PBE, relaxed)
data_KTe3Au3
_chemical_formula_sum 'K6 Te18 Au18'
_cell_length_a 8.1139
_cell_length_b 8.1139
_cell_length_c 24.1088
_cell_angle_alpha 90.00
_cell_angle_beta 90.00
_cell_angle_gamma 120.00
_symmetry_space_group_name_H-M 'R -3'
_symmetry_Int_Tables_number 148
_symmetry_space_group_name_Hall '-R 3'
loop_
_atom_site_label
_atom_site_type_symbol
_atom_site_fract_x
_atom_site_fract_y
_atom_site_fract_z
_atom_site_occupancy
K1 K 0.0000 0.0000 0.1667 1
Te1 Te 0.0006 0.6758 0.5975 1
Au1 Au 0.0008 0.6561 0.3862 1
# magnetic moment = 0.0 μB/cell

Which structure is the least stable? The one labeled #x.